Li3PtS: relaxed, PBE.

The structure belongs to space group Pm-3m (No. 221); the cell edges are 4.672, 4.672 and 4.672 Å and the angles 90.00°, 90.00° and 90.00°. The distinct sites, in fractional coordinates, are Li at (0.000, 0.000, 0.500), Pt at (0.000, 0.000, 0.000) and S at (0.500, 0.500, 0.500).

The calculation puts the uncorrected formation energy at -93 meV per atom. The value obtained for the energy above the most stable polymorph in this dataset is 292 meV/atom. As for the crystal system: cubic.